No. 1
The following is a DFT calculation (PBE) of an optimized crystal structure of SrPrDy2.

Geometry as POSCAR:
```
SrPrDy2
1.0
1.825 1.053 12.881
-1.825 1.053 12.881
0.000 -2.107 12.881
Sr Pr Dy
1 1 2
direct
0.000 0.000 0.000 Sr
0.500 0.500 0.500 Pr
0.092 0.092 0.092 Dy
0.908 0.908 0.908 Dy
```

Output
The calculation puts the formation energy at 0.2239 eV per atom. Its distance to the lowest polymorph of the same formula is 104 meV/atom. As for the space group: No. 166.



No. 2
The following is a DFT calculation (PBE) of an optimized crystal structure of AcBIr2.

Geometry as POSCAR:
```
AcBIr2
1.0
3.009 0.000 0.000
0.000 3.009 0.000
0.000 0.000 7.309
Ac B Ir
1 1 2
direct
0.000 0.000 0.000 Ac
0.000 0.000 0.500 B
0.500 0.500 0.324 Ir
0.500 0.500 0.676 Ir
```

Output
The calculation puts the formation energy at 0.3832 eV per atom. Its distance to the lowest polymorph of the same formula is 791 meV/atom. As for the space group: No. 123.



No. 3
The following is a DFT calculation (PBE) of an optimized crystal structure of AlInFe2.

Geometry as POSCAR:
```
AlInFe2
1.0
3.043 0.000 0.000
0.000 3.043 0.000
0.000 0.000 6.514
Al In Fe
1 1 2
direct
0.000 0.000 0.000 Al
0.500 0.500 0.658 In
0.000 0.000 0.392 Fe
0.500 0.500 0.197 Fe
```

Output
The calculation puts the formation energy at 0.0430 eV per atom. As for the space group: No. 99.